A relaxed YSbTe2Mo crystal. Source: the Alexandria database, functional PBE.

Cell lengths 5.7716, 5.7716, 5.7983 Å; angles 90.00, 90.00, 90.00 degrees
Each line ends with the local moment (μB).
Atoms (fractional coordinates):
Y  0.0000  0.0000  0.0000  0.00
Sb  0.0000  0.0000  0.5000  -0.23
Mo  0.5000  0.5000  0.5000  3.86
Te  0.0000  0.5000  0.0000  -0.15
Te  0.5000  0.0000  0.0000  -0.15

## Properties
ΔE_f (raw): 0.7816 eV per atom
polymorph energy (0 for the lowest one): 0.607 eV per atom
magnetization: 3.63 μB/f.u.
mass density: 4830 kg/m3
calculated volume: 38.6 Å³/atom

---

A relaxed YSb2TeMo crystal. Source: the Alexandria database, functional PBE.

Cell lengths 5.7016, 5.7016, 5.6797 Å; angles 90.00, 90.00, 90.00 degrees
Each line ends with the local moment (μB).
Atoms (fractional coordinates):
Y  0.0000  0.0000  0.0000  0.00
Sb  0.0000  0.5000  0.0000  0.03
Sb  0.5000  0.0000  0.0000  0.03
Mo  0.5000  0.5000  0.5000  -0.77
Te  0.0000  0.0000  0.5000  0.03

## Properties
ΔE_f (raw): 1.2770 eV per atom
polymorph energy (0 for the lowest one): 1.050 eV per atom
magnetization: 0.71 μB/f.u.
mass density: 5000 kg/m3
calculated volume: 36.9 Å³/atom

---

A relaxed YSbTe2Mo crystal. Source: the Alexandria database, functional PBE.

Cell lengths 5.4194, 5.4194, 5.1549 Å; angles 90.00, 90.00, 90.00 degrees
Each line ends with the local moment (μB).
Atoms (fractional coordinates):
Y  0.5000  0.5000  0.5000  0.15
Sb  0.0000  0.0000  0.5000  -0.04
Mo  0.0000  0.0000  0.0000  1.30
Te  0.0000  0.5000  0.0000  0.01
Te  0.5000  0.0000  0.0000  0.01

## Properties
ΔE_f (raw): 0.1746 eV per atom
polymorph energy (0 for the lowest one): 0.000 eV per atom
magnetization: 1.77 μB/f.u.
mass density: 6162 kg/m3
calculated volume: 30.3 Å³/atom

---

A relaxed YSb2TeMo crystal. Source: the Alexandria database, functional PBE.

Cell lengths 5.1251, 5.1251, 5.7390 Å; angles 90.00, 90.00, 90.00 degrees
Each line ends with the local moment (μB).
Atoms (fractional coordinates):
Y  0.5000  0.5000  0.5000  0.06
Sb  0.0000  0.5000  0.0000  -0.03
Sb  0.5000  0.0000  0.0000  -0.03
Mo  0.0000  0.0000  0.0000  0.62
Te  0.0000  0.0000  0.5000  0.01

## Properties
ΔE_f (raw): 0.2268 eV per atom
polymorph energy (0 for the lowest one): 0.000 eV per atom
magnetization: 0.76 μB/f.u.
mass density: 6124 kg/m3
calculated volume: 30.1 Å³/atom

---

A relaxed ZnSbTe2Mo crystal. Source: the Alexandria database, functional PBE.

Cell lengths 5.3008, 5.3008, 5.3437 Å; angles 90.00, 90.00, 90.00 degrees
Atoms (fractional coordinates):
Sb  0.0000  0.0000  0.5000
Mo  0.0000  0.0000  0.0000
Te  0.0000  0.5000  0.0000
Te  0.5000  0.0000  0.0000
Zn  0.5000  0.5000  0.5000

## Properties
ΔE_f (raw): 0.5138 eV per atom
polymorph energy (0 for the lowest one): 0.000 eV per atom
magnetization: 0.00 μB/f.u.
mass density: 5953 kg/m3
calculated volume: 30.0 Å³/atom

---

A relaxed ZnSbTe2Mo crystal. Source: the Alexandria database, functional PBE.

Cell lengths 5.2917, 5.2917, 5.0783 Å; angles 90.00, 90.00, 90.00 degrees
Each line ends with the local moment (μB).
Atoms (fractional coordinates):
Sb  0.0000  0.0000  0.5000  -0.17
Mo  0.5000  0.5000  0.5000  3.40
Te  0.0000  0.5000  0.0000  -0.15
Te  0.5000  0.0000  0.0000  -0.15
Zn  0.0000  0.0000  0.0000  0.01

## Properties
ΔE_f (raw): 1.0651 eV per atom
polymorph energy (0 for the lowest one): 0.551 eV per atom
magnetization: 3.30 μB/f.u.
mass density: 6286 kg/m3
calculated volume: 28.4 Å³/atom

---

A relaxed ZrSb2TeMo crystal. Source: the Alexandria database, functional PBE.

Cell lengths 5.1832, 5.1832, 5.3952 Å; angles 90.00, 90.00, 90.00 degrees
Each line ends with the local moment (μB).
Atoms (fractional coordinates):
Sb  0.0000  0.5000  0.0000  -0.05
Sb  0.5000  0.0000  0.0000  -0.05
Mo  0.0000  0.0000  0.0000  1.05
Te  0.0000  0.0000  0.5000  -0.04
Zr  0.5000  0.5000  0.5000  1.14

## Properties
ΔE_f (raw): 0.7276 eV per atom
polymorph energy (0 for the lowest one): 0.000 eV per atom
magnetization: 2.76 μB/f.u.
mass density: 6396 kg/m3
calculated volume: 29.0 Å³/atom

---

A relaxed ZrSbTe2Mo crystal. Source: the Alexandria database, functional PBE.

Cell lengths 5.3102, 5.3102, 5.1964 Å; angles 90.00, 90.00, 90.00 degrees
Each line ends with the local moment (μB).
Atoms (fractional coordinates):
Sb  0.0000  0.0000  0.5000  -0.06
Mo  0.0000  0.0000  0.0000  1.25
Te  0.0000  0.5000  0.0000  -0.06
Te  0.5000  0.0000  0.0000  -0.06
Zr  0.5000  0.5000  0.5000  1.22

## Properties
ΔE_f (raw): 0.6779 eV per atom
polymorph energy (0 for the lowest one): 0.000 eV per atom
magnetization: 3.13 μB/f.u.
mass density: 6393 kg/m3
calculated volume: 29.3 Å³/atom

---

A relaxed ThSbMo crystal. Source: the Alexandria database, functional PBE.

Cell lengths 4.7061, 4.6352, 6.9792 Å; angles 70.61, 90.00, 90.00 degrees
Atoms (fractional coordinates):
Th  0.2500  0.9022  0.1956
Th  0.7500  0.0978  0.8044
Mo  0.2500  0.2492  0.5017
Mo  0.7500  0.7508  0.4983
Sb  0.2500  0.6301  0.7397
Sb  0.7500  0.3699  0.2603

## Properties
ΔE_f (raw): -0.2318 eV per atom
magnetization: 0.00 μB/f.u.
mass density: 10401 kg/m3
calculated volume: 23.9 Å³/atom

---

A relaxed Ti4SbMo crystal. Source: the Alexandria database, functional PBE.

Cell lengths 4.6440, 5.4909, 9.3064 Å; angles 90.00, 104.45, 90.00 degrees
Atoms (fractional coordinates):
Ti  0.8648  0.2426  0.7297
Ti  0.1352  0.7426  0.2703
Ti  0.4610  0.9859  0.9219
Ti  0.5390  0.4859  0.0781
Ti  0.6876  0.4954  0.3752
Ti  0.3124  0.9954  0.6248
Ti  0.7265  0.9907  0.4529
Ti  0.2735  0.4907  0.5471
Sb  0.8751  0.7464  0.7502
Sb  0.1249  0.2464  0.2498
Mo  0.5907  0.9723  0.1815
Mo  0.4093  0.4723  0.8185

## Properties
ΔE_f (raw): 0.1124 eV per atom
magnetization: 0.00 μB/f.u.
mass density: 5913 kg/m3
calculated volume: 19.2 Å³/atom

---

A relaxed Ti2Sb2Mo crystal. Source: the Alexandria database, functional PBE.

Cell lengths 7.1652, 7.1652, 3.7335 Å; angles 90.00, 90.00, 90.00 degrees
Atoms (fractional coordinates):
Sb  0.3497  0.8497  0.0000
Sb  0.8497  0.6503  0.0000
Sb  0.6503  0.1503  0.0000
Sb  0.1503  0.3497  0.0000
Mo  0.0000  0.0000  0.0000
Mo  0.5000  0.5000  0.0000
Ti  0.1500  0.6500  0.5000
Ti  0.6500  0.8500  0.5000
Ti  0.8500  0.3500  0.5000
Ti  0.3500  0.1500  0.5000

## Properties
ΔE_f (raw): -0.1085 eV per atom
magnetization: 0.00 μB/f.u.
mass density: 7540 kg/m3
calculated volume: 19.2 Å³/atom

---

A relaxed Ti6Sb3Mo crystal. Source: the Alexandria database, functional PBE.

Cell lengths 6.2666, 8.3596, 8.3596 Å; angles 112.80, 90.00, 90.00 degrees
Atoms (fractional coordinates):
Ti  0.1682  0.7467  0.6138
Ti  0.6682  0.6138  0.7467
Ti  0.2104  0.4002  0.9212
Ti  0.7104  0.9212  0.4002
Ti  0.2303  0.0454  0.9546
Ti  0.6514  0.2700  0.7300
Ti  0.1514  0.7300  0.2700
Ti  0.7303  0.9546  0.0454
Ti  0.2104  0.0788  0.5998
Ti  0.7104  0.5998  0.0788
Ti  0.1682  0.3862  0.2533
Ti  0.6682  0.2533  0.3862
Sb  0.5540  0.9203  0.7080
Sb  0.0540  0.7080  0.9203
Sb  0.3171  0.4127  0.5873
Sb  0.8171  0.5873  0.4127
Sb  0.0540  0.0797  0.2920
Sb  0.5540  0.2920  0.0797
Mo  0.9213  0.1399  0.8601
Mo  0.4213  0.8601  0.1399

## Properties
ΔE_f (raw): -0.0602 eV per atom
magnetization: 0.00 μB/f.u.
mass density: 6157 kg/m3
calculated volume: 20.2 Å³/atom